1.
PBE LaBeGa, relaxed; excess energy over the best structure of this formula in the dataset = 0.1553 eV per atom; space-group type = Pnma, No. 62
1.0
5.7010 0.0000 0.0000
0.0000 4.0150 0.0000
0.0000 0.0000 11.3720
La Be Ga
4 4 4
direct
0.1277 0.2500 0.1497
0.3723 0.7500 0.6497
0.6277 0.2500 0.3503
0.8723 0.7500 0.8503
0.1157 0.7500 0.3637
0.3843 0.2500 0.8637
0.6157 0.7500 0.1363
0.8843 0.2500 0.6363
0.1480 0.2500 0.4652
0.3520 0.7500 0.9652
0.6480 0.2500 0.0348
0.8520 0.7500 0.5348

=====

2.
PBE LaBeGa, relaxed; excess energy over the best structure of this formula in the dataset = 0.1062 eV per atom; space-group type = Cm, No. 8
1.0
2.8969 -7.6963 0.0000
2.8969 7.6963 0.0000
-2.8756 0.0000 2.8966
La Be Ga
2 2 2
direct
0.1556 0.8444 0.0000
0.8444 0.1556 0.0000
0.0149 0.0149 0.5185
0.4587 0.4587 0.4581
0.4166 0.5981 0.0070
0.5981 0.4166 0.0070

=====

3.
PBE LaBeGa, relaxed; excess energy over the best structure of this formula in the dataset = 0.2980 eV per atom; space-group type = Fmmm, No. 69
1.0
0.0000 4.2246 4.7188
3.4080 0.0000 4.7188
3.4080 4.2246 0.0000
La Be Ga
2 2 2
direct
0.2052 0.2052 0.7948
0.7948 0.7948 0.2052
0.3409 0.6591 0.6591
0.6591 0.3409 0.3409
0.0000 0.0000 0.5000
0.5000 0.5000 0.0000

=====

4.
PBE La2BeGa, relaxed; excess energy over the best structure of this formula in the dataset = 0.0089 eV per atom; space-group type = Fm-3m, No. 225
1.0
0.0000 3.6951 3.6951
3.6951 0.0000 3.6951
3.6951 3.6951 0.0000
La Be Ga
2 1 1
direct
0.2500 0.2500 0.2500
0.7500 0.7500 0.7500
0.0000 0.0000 0.0000
0.5000 0.5000 0.5000

=====

5.
PBE La2BeGa3, relaxed; space-group type = Fmmm, No. 69
1.0
0.0000 4.4413 7.3237
4.2327 0.0000 7.3237
4.2327 4.4413 0.0000
La Be Ga
4 2 6
direct
0.2440 0.7560 0.2440
0.2500 0.2500 0.2500
0.7500 0.7500 0.7500
0.7560 0.2440 0.7560
0.3332 0.3332 0.6668
0.6668 0.6668 0.3332
0.1736 0.1736 0.8264
0.1753 0.6506 0.8247
0.3494 0.8247 0.6506
0.6506 0.1753 0.3494
0.8247 0.3494 0.1753
0.8264 0.8264 0.1736

=====

6.
PBE La2BeGa, relaxed; excess energy over the best structure of this formula in the dataset = 0.3883 eV per atom; space-group type = I-42d, No. 122
1.0
-4.1099 4.1099 3.0715
4.1099 -4.1099 3.0715
4.1099 4.1099 -3.0715
La Be Ga
4 2 2
direct
0.0840 0.6250 0.9590
0.3750 0.3340 0.4590
0.6660 0.1250 0.0410
0.8750 0.9160 0.5410
0.0000 0.0000 0.0000
0.7500 0.2500 0.5000
0.2500 0.7500 0.5000
0.5000 0.5000 0.0000

=====

7.
PBE LaBeGa, relaxed; excess energy over the best structure of this formula in the dataset = 0.3479 eV per atom; space-group type = F-43m, No. 216
1.0
0.0000 3.2999 3.2999
3.2999 0.0000 3.2999
3.2999 3.2999 0.0000
La Be Ga
1 1 1
direct
0.0000 0.0000 0.0000
0.5000 0.5000 0.5000
0.2500 0.2500 0.2500

=====

8.
PBE LaBe3Ga, relaxed; excess energy over the best structure of this formula in the dataset = 0.0000 eV per atom; space-group type = Pm-3m, No. 221
1.0
4.3784 0.0000 0.0000
0.0000 4.3784 0.0000
0.0000 0.0000 4.3784
La Be Ga
1 3 1
direct
0.0000 0.0000 0.0000
0.0000 0.5000 0.5000
0.5000 0.0000 0.5000
0.5000 0.5000 0.0000
0.5000 0.5000 0.5000

=====

9.
PBE LaBeGa, relaxed; excess energy over the best structure of this formula in the dataset = 0.0479 eV per atom; space-group type = P-6m2, No. 187
1.0
4.0983 0.0000 0.0000
-2.0491 3.5492 0.0000
0.0000 0.0000 4.4702
La Be Ga
1 1 1
direct
0.0000 0.0000 0.0000
0.3333 0.6667 0.5000
0.6667 0.3333 0.5000

=====

10.
PBE La3BeGa, relaxed; space-group type = Pm-3m, No. 221
1.0
5.9132 0.0000 0.0000
0.0000 5.9132 0.0000
0.0000 0.0000 5.9132
La Be Ga
3 1 1
direct
0.0000 0.0000 0.5000
0.0000 0.5000 0.0000
0.5000 0.0000 0.0000
0.5000 0.5000 0.5000
0.0000 0.0000 0.0000

=====

11.
PBE LaBeGa, relaxed; excess energy over the best structure of this formula in the dataset = 0.1055 eV per atom; space-group type = P1, No. 1
1.0
3.9490 0.0000 0.0000
0.0007 5.6674 0.0000
1.9718 1.5245 5.7406
La Be Ga
2 2 2
direct
0.0000 0.0000 0.0000
0.2095 0.5979 0.5797
0.3302 0.1651 0.3393
0.4878 0.4653 0.0222
0.7185 0.0611 0.5633
0.8905 0.4530 0.2174

=====

12.
PBE LaBe3Ga, relaxed; excess energy over the best structure of this formula in the dataset = 1.5650 eV per atom; space-group type = Pm-3m, No. 221
1.0
5.2698 0.0000 0.0000
0.0000 5.2698 0.0000
0.0000 0.0000 5.2698
La Be Ga
1 3 1
direct
0.0000 0.0000 0.0000
0.0000 0.0000 0.5000
0.0000 0.5000 0.0000
0.5000 0.0000 0.0000
0.5000 0.5000 0.5000

=====

Listing energy relative to the elements for the structures above in their given order: -0.202 -0.251 -0.059 -0.157 -0.521 0.222 -0.009 0.348 -0.309 0.546 -0.252 1.913 eV per atom.
Listing magnetization for the structures above in their given order: 0.00 0.00 0.00 0.00 0.00 0.00 0.00 0.00 0.34 1.94 0.00 0.00 μB/f.u..